# 1
! Ca2TiOsC, single point on PBEsol structure, DFT SCAN; values from VASP
! * E_form: 0.865 eV per atom
! * SG: P4/mmm
&SYSTEM
  ibrav = 0, nat = 5, ntyp = 4
/
ATOMIC_SPECIES
Ca 40.08 Ca.upf
Ti 47.87 Ti.upf
Os 190.23 Os.upf
C 12.01 C.upf
CELL_PARAMETERS angstrom
5.564 0.000 0.000
0.000 5.564 0.000
0.000 0.000 3.869
ATOMIC_POSITIONS crystal
Ca 0.000 0.500 0.000
Ca 0.500 0.000 0.000
Ti 0.000 0.000 0.500
Os 0.500 0.500 0.000
C 0.500 0.500 0.500



# 2
! CaPPb2C, single point on PBEsol structure, DFT SCAN; values from VASP
! * E_form: 1.240 eV per atom
! * SG: P4/mmm
&SYSTEM
  ibrav = 0, nat = 5, ntyp = 4
/
ATOMIC_SPECIES
Ca 40.08 Ca.upf
P 30.97 P.upf
Pb 207.20 Pb.upf
C 12.01 C.upf
CELL_PARAMETERS angstrom
5.175 0.000 0.000
0.000 5.175 0.000
0.000 0.000 5.303
ATOMIC_POSITIONS crystal
Ca 0.000 0.000 0.000
P 0.000 0.000 0.500
Pb 0.000 0.500 0.500
Pb 0.500 0.000 0.500
C 0.500 0.500 0.000



# 3
! CaSb2PC, single point on PBEsol structure, DFT SCAN; values from VASP
! * SG: P4/mmm
! * formation energy without anion corrections: 0.57 eV per atom
&SYSTEM
  ibrav = 0, nat = 5, ntyp = 4
/
ATOMIC_SPECIES
Ca 40.08 Ca.upf
Sb 121.76 Sb.upf
P 30.97 P.upf
C 12.01 C.upf
CELL_PARAMETERS angstrom
5.145 0.000 0.000
0.000 5.145 0.000
0.000 0.000 3.777
ATOMIC_POSITIONS crystal
Ca 0.000 0.000 0.000
Sb 0.000 0.500 0.500
Sb 0.500 0.000 0.500
P 0.500 0.500 0.000
C 0.500 0.500 0.500



# 4
! CaSnP2C, single point on PBEsol structure, DFT SCAN; values from VASP
! * E_form: 0.990 eV per atom
! * SG: P4/mmm
&SYSTEM
  ibrav = 0, nat = 5, ntyp = 4
/
ATOMIC_SPECIES
Ca 40.08 Ca.upf
Sn 118.71 Sn.upf
P 30.97 P.upf
C 12.01 C.upf
CELL_PARAMETERS angstrom
5.099 0.000 0.000
0.000 5.099 0.000
0.000 0.000 4.189
ATOMIC_POSITIONS crystal
Ca 0.000 0.000 0.000
Sn 0.500 0.500 0.500
P 0.000 0.500 0.500
P 0.500 0.000 0.500
C 0.500 0.500 0.000



# 5
! Ca2PdC, single point on PBEsol structure, DFT SCAN; values from VASP
! * E_form: -0.129 eV per atom
! * SG: I-42d
&SYSTEM
  ibrav = 0, nat = 8, ntyp = 3
/
ATOMIC_SPECIES
Ca 40.08 Ca.upf
Pd 106.42 Pd.upf
C 12.01 C.upf
CELL_PARAMETERS angstrom
-4.950 4.950 1.942
4.950 -4.950 1.942
4.950 4.950 -1.942
ATOMIC_POSITIONS crystal
Ca 0.375 0.071 0.196
Ca 0.821 0.625 0.696
Ca 0.875 0.179 0.804
Ca 0.929 0.125 0.304
Pd 0.250 0.750 0.500
Pd 0.500 0.500 0.000
C 0.000 0.000 0.000
C 0.750 0.250 0.500



# 6
! Ca2PtC, single point on PBEsol structure, DFT SCAN; values from VASP
! * E_form: -0.442 eV per atom
! * SG: I-42d
&SYSTEM
  ibrav = 0, nat = 8, ntyp = 3
/
ATOMIC_SPECIES
Ca 40.08 Ca.upf
Pt 195.08 Pt.upf
C 12.01 C.upf
CELL_PARAMETERS angstrom
-4.986 4.986 1.924
4.986 -4.986 1.924
4.986 4.986 -1.924
ATOMIC_POSITIONS crystal
Ca 0.375 0.069 0.194
Ca 0.819 0.625 0.694
Ca 0.875 0.181 0.806
Ca 0.931 0.125 0.306
Pt 0.250 0.750 0.500
Pt 0.500 0.500 0.000
C 0.000 0.000 0.000
C 0.750 0.250 0.500



| no. | density (g/cm³) | total moment (μB/atom) |
| --- | --- | --- |
| 1 | 4.58 | 0.6083 |
| 2 | 5.82 | 0.2130 |
| 3 | 5.42 | 0.0000 |
| 4 | 3.55 | 0.0001 |
| 5 | 3.46 | 0.0507 |
| 6 | 4.99 | 0.0323 |